# 1
YTm2Tc9 | PBE-GGA | relaxed

Results
Calculated formation energy in eV per atom: -0.087

Lattice parameters (Å, degrees): 5.3377 5.3377 26.0852 90.00 90.00 120.00
Last column: nearest neighbours and their distance in Å.
Space group R-3m (No. 166, hexagonal axes)
Inequivalent atoms, fractional coordinates:
Y (0.0000, 0.0000, 0.0000) [3 per cell]  18 Tc 3.08-3.45
Tm (0.0000, 0.0000, 0.1437) [6 per cell]  12 Tc 3.09-3.14, 3 Tm 3.31
Tc (0.0000, 0.0000, 0.3381) [6 per cell]  6 Tc 2.61-2.75
Tc (0.0000, 0.0000, 0.5000) [3 per cell]  6 Tc 2.68
Tc (0.0106, 0.5053, 0.9161) [18 per cell]  7 Tc 2.58-2.75

# 2
PaHgBi2 | PBE-GGA | relaxed

Results
Calculated formation energy in eV per atom: -0.035

Lattice parameters (Å, degrees): 3.3529 3.3529 38.5223 90.00 90.00 120.00
Last column: nearest neighbours and their distance in Å.
Space group R-3m (No. 166, hexagonal axes)
Inequivalent atoms, fractional coordinates:
Pa (0.0000, 0.0000, 0.0000) [3 per cell]  6 Pa 3.35, 6 Bi 3.43
Hg (0.0000, 0.0000, 0.5000) [3 per cell]  6 Hg 3.35, 2 Bi 3.59
Bi (0.0000, 0.0000, 0.4069) [6 per cell]  6 Bi 3.35, 3 Pa 3.43, 1 Hg 3.59

# 3
VAsI | PBE-GGA | relaxed

Results
Uncorrected formation energy in eV/atom: -0.12

Lattice parameters (Å, degrees): 3.2764 7.8043 7.8208 69.22 77.91 77.95
Last column: nearest neighbours and their distance in Å.
Space group P-1 (No. 2)
Inequivalent atoms, fractional coordinates:
V (0.0992, 0.4001, 0.4005) [2 per cell]  1 V 2.48, 4 As 2.57, 2 I 2.73
As (0.4996, 0.3255, 0.6744) [2 per cell]  4 V 2.57
I (0.2253, 0.7762, 0.7750) [2 per cell]  2 V 2.73

# 4
Na3Np3SeS8 | PBE-GGA | relaxed

Results
Uncorrected formation energy in eV/atom: -1.01

Lattice parameters (Å, degrees): 13.8552 8.0126 8.0604 90.00 124.96 90.00
Last column: nearest neighbours and their distance in Å.
Space group C2/m (No. 12)
Inequivalent atoms, fractional coordinates:
Na (0.0000, 0.0000, 0.0000) [2 per cell]  6 S 2.92-2.96
Na (0.2500, 0.2500, 0.0000) [4 per cell]  6 S 2.93-2.96
Np (0.0000, 0.5000, 0.5000) [2 per cell]  6 S 2.74-2.76
Np (0.2500, 0.2500, 0.5000) [4 per cell]  6 S 2.74-2.76
Se (0.0000, 0.0000, 0.5000) [2 per cell]  6 S 2.61-2.64
S (0.0092, 0.2415, 0.2865) [8 per cell]  1 Se 2.64, 2 Np 2.74, 1 Na 2.95
S (0.2295, 0.0000, 0.7118) [4 per cell]  1 Se 2.61, 2 Np 2.75
S (0.2428, 0.5000, 0.7280) [4 per cell]  3 Np 2.76, 3 Na 2.92-2.93

# 5
KI2Cl6 | PBE-GGA | relaxed

Results
Uncorrected formation energy in eV/atom: -0.37

Lattice parameters (Å, degrees): 8.0062 8.0062 8.6570 90.00 90.00 120.00
Last column: nearest neighbours and their distance in Å.
Space group P-3m1 (No. 164)
Inequivalent atoms, fractional coordinates:
K (0.0000, 0.0000, 0.0000) [1 per cell]  6 Cl 3.18
I (0.3333, 0.6667, 0.7251) [2 per cell]  3 Cl 2.56
Cl (0.1490, 0.2981, 0.7205) [6 per cell]  1 I 2.56

# 6
Ge2AsSe6 | PBE-GGA | relaxed

Results
Uncorrected formation energy in eV/atom: -0.08

Lattice parameters (Å, degrees): 12.4545 11.6469 6.5334 90.00 100.64 90.00
Last column: nearest neighbours and their distance in Å.
Space group C2/c (No. 15)
Inequivalent atoms, fractional coordinates:
Ge (0.1932, 0.0840, 0.3342) [8 per cell]  4 Se 2.40-2.44
As (0.0000, 0.3810, 0.2500) [4 per cell]  4 Se 2.54-2.71
Se (0.1126, 0.4060, 0.6433) [8 per cell]  1 Ge 2.40
Se (0.1229, 0.0921, 0.6552) [8 per cell]  2 Ge 2.42-2.44
Se (0.1255, 0.2426, 0.1076) [8 per cell]  1 Ge 2.42, 1 As 2.54

Ordered calculated density results: 10.13, 11.28, 4.64, 5.05, 1.75, 4.95; unit g/cm3.
Ordered electronic total energy results: -9.1454, -4.4253, -5.2252, -6.2943, -2.0701, -3.9431; unit eV/atom.